[1]
First-principles (PBE+U) data for a relaxed NpNbFeO6 crystal, as listed in Alexandria.

Structure (POSCAR):
```
NpNbFeO6
1.0
-3.966 0.036 -2.860
2.347 -2.755 -3.289
-3.262 -8.059 4.423
O Np Fe Nb
12 2 2 2
direct
0.305 0.305 0.676 O
0.792 0.208 0.831 O
0.708 0.708 0.331 O
0.195 0.805 0.176 O
0.292 0.292 0.331 O
0.809 0.191 0.490 O
0.309 0.309 0.990 O
0.208 0.792 0.831 O
0.695 0.695 0.676 O
0.805 0.195 0.176 O
0.691 0.691 0.990 O
0.191 0.809 0.490 O
0.000 0.000 0.670 Np
0.500 0.500 0.170 Np
0.500 0.500 0.499 Fe
0.000 0.000 0.999 Fe
0.000 0.000 0.336 Nb
0.500 0.500 0.836 Nb
```

Summary:
Its total magnetization is 12.00 μB/cell. As for the final energy: -8.92 eV per atom. As for the density of states at the Fermi level: 0.670 states/eV/atom.

=====

[2]
First-principles (PBE+U) data for a relaxed Nb2FeO6 crystal, as listed in Alexandria.

Structure (POSCAR):
```
Nb2FeO6
1.0
-2.931 -0.885 4.495
-2.081 -6.772 -1.071
4.924 -3.026 4.235
O Nb Fe
12 4 2
direct
0.114 0.628 0.668 O
0.126 0.811 0.983 O
0.626 0.983 0.811 O
0.634 0.626 0.038 O
0.614 0.668 0.628 O
0.866 0.962 0.374 O
0.386 0.332 0.372 O
0.366 0.374 0.962 O
0.874 0.189 0.017 O
0.374 0.017 0.189 O
0.134 0.038 0.626 O
0.886 0.372 0.332 O
0.155 0.158 0.378 Nb
0.345 0.622 0.842 Nb
0.845 0.842 0.622 Nb
0.655 0.378 0.158 Nb
0.750 0.907 0.093 Fe
0.250 0.093 0.907 Fe
```

Summary:
The distance to the lowest polymorph of the same formula is 0.76 eV per formula unit. Its total magnetization is 8.00 μB/cell. As for the final energy: -8.39 eV per atom. As for the density of states at the Fermi level: 0.000 states/eV/atom.

=====

Q: The lowest final energy belongs to which entry?
A: NpNbFeO6